# PBE Ac2LaHo, optimized geometry
data_Ac2LaHo
_space_group_name_H-M_alt 'P 4/m m m'
_space_group_IT_number 123
_space_group_name_Hall '-P 4 2'
_cell_length_a 5.413
_cell_length_b 5.413
_cell_length_c 5.322
_cell_angle_alpha 90.00
_cell_angle_beta 90.00
_cell_angle_gamma 90.00
loop_
_atom_site_label
_atom_site_type_symbol
_atom_site_fract_x
_atom_site_fract_y
_atom_site_fract_z
Ac1 Ac 0.000 0.500 0.000
La1 La 0.000 0.000 0.500
Ho1 Ho 0.500 0.500 0.500
# Total magnetization: 0.00 μB per formula unit
# Formation energy: 31 meV/atom
# Energy: -4.399 eV/atom
# ΔE to the lowest computed polymorph: 0.0 meV per atom